# 1
A relaxed structure of TlZnSe2, computed with PBE-GGA.

Summary:
The formation energy without anion corrections is -0.28 eV per atom. The value obtained for the total magnetic moment is 0.0 μB per formula unit. For the calculated volume, the calculation gives 29.72 Å³ per atom. For the total energy, the calculation gives -2.93 eV per atom.

abc: 4.944 3.818 6.300
angles: 90.00 90.43 90.00
Space group P2/m (No. 10)
One atom of each set of equivalent atoms:
Tl 0.000 0.000 0.000
Zn 0.500 0.000 0.500
Se 0.499 0.500 0.760

=====

# 2
A relaxed structure of TlZn4Se, computed with PBE-GGA.

Summary:
The formation energy without anion corrections is 0.16 eV per atom. The value obtained for the total magnetic moment is 0.0 μB per formula unit. For the calculated volume, the calculation gives 19.59 Å³ per atom. For the total energy, the calculation gives -1.66 eV per atom.

abc: 7.775 7.775 7.775
angles: 90.00 90.00 90.00
Space group F-43m (No. 216)
One atom of each set of equivalent atoms:
Tl 0.000 0.000 0.000
Zn 0.126 0.126 0.626
Se 0.250 0.250 0.250